# 1
TeIrCl4: optimized geometry, PBE.

The crystal system is cubic. The calculation puts the volume at 129.7 Å³/cell. The uncorrected formation energy is 1315 meV/atom.

a b c (Å): 5.682 5.682 5.682
angles (deg): 60.00 60.00 60.00
Sites, in units of the cell vectors:
Te  0.000  0.000  0.000
Ir  0.250  0.250  0.250
Cl  0.127  0.624  0.624
Cl  0.624  0.127  0.624
Cl  0.624  0.624  0.127
Cl  0.624  0.624  0.624

# 2
SrHgMo2: optimized geometry, PBE.

The crystal system is orthorhombic. For the calculated formation energy, the calculation gives 0.889 eV per atom. The calculation puts the volume at 85.0 Å³/cell.

a b c (Å): 6.215 6.215 6.215
angles (deg): 150.93 132.83 56.37
Sites, in units of the cell vectors:
Sr  0.000  0.000  0.000
Hg  0.500  0.500  0.000
Mo  0.268  0.768  0.500
Mo  0.732  0.232  0.500

# 3
CaLa2N2Cl2: optimized geometry, PBE.

The crystal system is tetragonal. The calculation puts the volume at 146.9 Å³/cell. The uncorrected formation energy is -1516 meV/atom.

a b c (Å): 7.987 7.987 7.987
angles (deg): 147.45 147.45 46.70
Sites, in units of the cell vectors:
Ca  0.000  0.000  0.000
La  0.399  0.399  0.000
La  0.601  0.601  0.000
N  0.000  0.500  0.500
N  0.500  0.000  0.500
Cl  0.194  0.194  0.000
Cl  0.806  0.806  0.000

# 4
ZnCrAs3: optimized geometry, PBE.

The crystal system is cubic. For the calculated formation energy, the calculation gives 0.403 eV per atom. Its energy above the most stable polymorph in this dataset is 0.0000 eV/atom. The calculation puts the volume at 101.9 Å³/cell.

a b c (Å): 4.671 4.671 4.671
angles (deg): 90.00 90.00 90.00
Sites, in units of the cell vectors:
Zn  0.000  0.000  0.000
Cr  0.500  0.500  0.500
As  0.000  0.500  0.500
As  0.500  0.000  0.500
As  0.500  0.500  0.000

# 5
HfAg3F7: optimized geometry, PBE.

The crystal system is monoclinic. The calculation puts the volume at 171.5 Å³/cell. The uncorrected formation energy is -2292 meV/atom.

a b c (Å): 5.584 5.584 6.397
angles (deg): 110.75 110.75 92.05
Sites, in units of the cell vectors:
Hf  0.000  0.000  0.000
Ag  0.330  0.757  0.498
Ag  0.568  0.568  0.120
Ag  0.757  0.330  0.498
F  0.106  0.721  0.759
F  0.232  0.232  0.931
F  0.365  0.998  0.241
F  0.685  0.685  0.823
F  0.721  0.106  0.759
F  0.921  0.921  0.268
F  0.998  0.365  0.241

# 6
Nd5Ho4Sc2: optimized geometry, PBE.

The crystal system is orthorhombic. For the calculated formation energy, the calculation gives 0.229 eV per atom. Its energy above the most stable polymorph in this dataset is 0.1471 eV/atom. The calculation puts the volume at 366.4 Å³/cell.

a b c (Å): 12.483 12.483 12.483
angles (deg): 163.98 136.87 46.29
Sites, in units of the cell vectors:
Nd  0.000  0.000  0.000
Nd  0.053  0.348  0.705
Nd  0.357  0.652  0.705
Nd  0.643  0.348  0.295
Nd  0.947  0.652  0.295
Ho  0.312  0.500  0.812
Ho  0.401  0.901  0.500
Ho  0.599  0.099  0.500
Ho  0.688  0.500  0.188
Sc  0.270  0.770  0.500
Sc  0.730  0.230  0.500